Material: Gd2PbN
Method: DFT, PBE
State: relaxed

Results
Total energy = -10.59 eV per atom

The structure in POSCAR format:
```
Gd2PbN
1.0
-0.138 1.583 2.788
-2.000 -2.223 1.163
6.241 -4.206 2.696
Pb Gd N
1 2 1
direct
0.500 0.500 0.500 Pb
0.000 0.000 0.818 Gd
0.000 0.000 0.182 Gd
0.500 0.500 0.000 N
```

---

Material: Y2ScIn2
Method: DFT, PBE
State: relaxed

Results
Formation energy from the elements = -0.41 eV/atom

The structure in POSCAR format:
```
Y2ScIn2
1.0
7.886 0.000 0.000
0.000 7.886 0.000
0.000 0.000 4.425
Y Sc In
4 2 4
direct
0.173 0.673 0.500 Y
0.673 0.827 0.500 Y
0.827 0.327 0.500 Y
0.327 0.173 0.500 Y
0.000 0.000 0.000 Sc
0.500 0.500 0.000 Sc
0.370 0.870 0.000 In
0.870 0.630 0.000 In
0.630 0.130 0.000 In
0.130 0.370 0.000 In
```

---

Material: CsAsRhAu
Method: DFT, PBE
State: relaxed

Results
Formation energy from the elements = -0.46 eV/atom

The structure in POSCAR format:
```
CsAsRhAu
1.0
4.020 0.000 0.000
0.000 4.020 0.000
0.000 0.000 13.518
Cs As Rh Au
2 2 2 2
direct
0.750 0.750 0.276 Cs
0.250 0.250 0.724 Cs
0.750 0.750 0.897 As
0.250 0.250 0.103 As
0.750 0.250 0.000 Rh
0.250 0.750 0.000 Rh
0.250 0.750 0.500 Au
0.750 0.250 0.500 Au
```

---

Material: TiBrNCl2
Method: DFT, PBE
State: relaxed

Results
Total energy = -3.16 eV per atom

The structure in POSCAR format:
```
TiBrNCl2
1.0
5.975 0.000 0.000
0.000 4.714 0.000
0.000 0.000 5.975
N Cl Br Ti
1 2 1 1
direct
0.500 0.500 0.500 N
0.000 0.000 0.500 Cl
0.500 0.000 0.000 Cl
0.000 0.000 0.000 Br
0.000 0.500 0.000 Ti
```

---

Material: PuCoCl6
Method: DFT, PBE
State: relaxed

Results
Total energy = -5.25 eV per atom

The structure in POSCAR format:
```
PuCoCl6
1.0
-6.285 -0.926 -1.272
-3.972 -2.106 4.665
-4.529 4.441 2.648
Pu Co Cl
1 1 6
direct
0.500 0.500 0.500 Pu
0.000 0.000 0.000 Co
0.103 0.375 0.762 Cl
0.760 0.103 0.762 Cl
0.625 0.240 0.238 Cl
0.240 0.897 0.238 Cl
0.897 0.625 0.238 Cl
0.375 0.760 0.762 Cl
```

---

Material: AlW2C
Method: DFT, PBE
State: relaxed

Results
Formation energy from the elements = 1.25 eV/atom

The structure in POSCAR format:
```
AlW2C
1.0
0.000 2.977 2.977
2.977 0.000 2.977
2.977 2.977 0.000
C Al W
1 1 2
direct
0.000 0.000 0.000 C
0.500 0.500 0.500 Al
0.250 0.250 0.250 W
0.750 0.750 0.750 W
```

---

Material: Mg2MnAu6
Method: DFT, PBE
State: relaxed

Results
Formation energy from the elements = -0.32 eV/atom

The structure in POSCAR format:
```
Mg2MnAu6
1.0
-3.041 -3.974 0.126
4.855 -4.914 4.468
-2.356 0.712 7.850
Mg Mn Au
4 2 12
direct
0.420 0.543 0.793 Mg
0.080 0.207 0.457 Mg
0.580 0.457 0.207 Mg
0.920 0.793 0.543 Mg
0.250 0.125 0.875 Mn
0.750 0.875 0.125 Mn
0.478 0.683 0.432 Au
0.022 0.568 0.317 Au
0.522 0.317 0.568 Au
0.978 0.432 0.683 Au
0.642 0.092 0.347 Au
0.858 0.653 0.908 Au
0.358 0.908 0.653 Au
0.142 0.347 0.092 Au
0.310 0.769 0.015 Au
0.190 0.985 0.231 Au
0.690 0.231 0.985 Au
0.810 0.015 0.769 Au
```

---

Material: Nd2Er2Tm5
Method: DFT, PBE
State: relaxed

Results
Formation energy from the elements = 0.22 eV/atom

The structure in POSCAR format:
```
Nd2Er2Tm5
1.0
11.651 0.000 0.000
0.000 6.702 0.000
-5.826 -3.351 7.425
Nd Er Tm
4 4 10
direct
0.121 0.686 0.255 Nd
0.879 0.431 0.745 Nd
0.634 0.186 0.255 Nd
0.366 0.931 0.745 Nd
0.000 0.003 0.000 Er
0.500 0.503 0.000 Er
0.265 0.362 0.500 Er
0.735 0.862 0.500 Er
0.206 0.656 0.893 Tm
0.794 0.763 0.107 Tm
0.186 0.156 0.893 Tm
0.814 0.263 0.107 Tm
0.379 0.030 0.285 Tm
0.621 0.745 0.715 Tm
0.406 0.530 0.285 Tm
0.594 0.245 0.715 Tm
0.997 0.660 0.500 Tm
0.003 0.160 0.500 Tm
```

---

Material: BeHgF4
Method: DFT, PBE
State: relaxed

Results
Total energy = -4.11 eV per atom

The structure in POSCAR format:
```
BeHgF4
1.0
-1.612 1.102 4.014
3.891 -4.735 0.380
5.511 4.965 0.850
Be Hg F
2 2 8
direct
0.107 0.214 0.765 Be
0.893 0.786 0.235 Be
0.198 0.396 0.270 Hg
0.802 0.604 0.730 Hg
0.017 0.033 0.319 F
0.136 0.271 0.961 F
0.790 0.579 0.364 F
0.621 0.242 0.752 F
0.379 0.758 0.248 F
0.210 0.421 0.636 F
0.864 0.729 0.039 F
0.983 0.967 0.681 F
```

---

Material: InSnHI2
Method: DFT, PBE
State: relaxed

Results
Total energy = -2.49 eV per atom

The structure in POSCAR format:
```
InSnHI2
1.0
6.704 0.000 0.000
0.000 6.704 0.000
0.000 0.000 5.565
I H Sn In
2 1 1 1
direct
0.000 0.500 0.000 I
0.500 0.000 0.000 I
0.000 0.000 0.500 H
0.000 0.000 0.000 Sn
0.500 0.500 0.500 In
```

---

Material: Y3Te2
Method: DFT, PBE
State: relaxed

Results
Total energy = -6.23 eV per atom

The structure in POSCAR format:
```
Y3Te2
1.0
4.133 0.000 0.000
0.000 11.685 0.000
0.000 0.000 11.892
Y Te
12 8
direct
0.250 0.624 0.545 Y
0.250 0.876 0.045 Y
0.750 0.376 0.455 Y
0.750 0.124 0.955 Y
0.750 0.066 0.622 Y
0.750 0.434 0.122 Y
0.250 0.934 0.378 Y
0.250 0.566 0.878 Y
0.250 0.294 0.710 Y
0.250 0.206 0.210 Y
0.750 0.706 0.290 Y
0.750 0.794 0.790 Y
0.250 0.180 0.468 Te
0.250 0.320 0.968 Te
0.750 0.820 0.532 Te
0.750 0.680 0.032 Te
0.750 0.497 0.695 Te
0.750 0.003 0.195 Te
0.250 0.503 0.305 Te
0.250 0.997 0.805 Te
```

---

Material: LaCrNi2Br
Method: DFT, PBE
State: relaxed

Results
Total energy = -5.04 eV per atom

The structure in POSCAR format:
```
LaCrNi2Br
1.0
-1.087 4.431 -0.784
-1.526 -1.125 -4.242
-4.235 -0.735 1.719
Ni Cr Br La
2 1 1 1
direct
0.000 0.000 0.500 Ni
0.500 0.000 0.000 Ni
0.000 0.500 0.000 Cr
0.000 0.000 0.000 Br
0.500 0.500 0.500 La
```

---

Material: Ce5Sn2H2
Method: DFT, PBE
State: relaxed

Results
Total energy = -5.37 eV per atom

The structure in POSCAR format:
```
Ce5Sn2H2
1.0
-2.824 3.593 0.243
0.049 -2.511 -5.385
-6.103 -4.930 1.960
Ce Sn H
5 2 2
direct
0.285 0.570 0.145 Ce
0.715 0.430 0.855 Ce
0.122 0.244 0.562 Ce
0.878 0.756 0.438 Ce
0.000 0.000 0.000 Ce
0.422 0.845 0.725 Sn
0.578 0.155 0.275 Sn
0.181 0.362 0.860 H
0.819 0.638 0.140 H
```

---

Material: ThSi2NiRh2
Method: DFT, PBE
State: relaxed

Results
Total energy = -7.02 eV per atom

The structure in POSCAR format:
```
ThSi2NiRh2
1.0
4.315 0.000 0.000
0.000 4.315 0.000
0.000 0.000 5.491
Th Si Ni Rh
1 2 1 2
direct
0.000 0.000 0.500 Th
0.500 0.000 0.000 Si
0.000 0.500 0.000 Si
0.000 0.000 0.000 Ni
0.500 0.500 0.748 Rh
0.500 0.500 0.252 Rh
```

---

Material: RbGaGe
Method: DFT, PBE
State: relaxed

Results
Formation energy from the elements = -0.05 eV/atom

The structure in POSCAR format:
```
RbGaGe
1.0
4.348 0.000 0.000
0.000 4.612 0.000
0.000 0.000 9.019
Ge Ga Rb
2 2 2
direct
0.000 0.000 0.205 Ge
0.500 0.000 0.030 Ge
0.500 0.500 0.197 Ga
0.000 0.500 0.385 Ga
0.000 0.500 0.867 Rb
0.500 0.000 0.535 Rb
```

---

Material: AcCuBi2
Method: DFT, PBE
State: relaxed

Results
Formation energy from the elements = -0.02 eV/atom

The structure in POSCAR format:
```
AcCuBi2
1.0
-1.084 -2.529 -2.572
2.530 -1.488 -2.360
2.157 -8.424 4.618
Ac Bi Cu
1 2 1
direct
0.500 0.500 0.500 Ac
0.730 0.730 0.810 Bi
0.270 0.270 0.190 Bi
0.000 0.000 0.000 Cu
```

---

Material: Li6In12Au
Method: DFT, PBE
State: relaxed

Results
Formation energy from the elements = -0.19 eV/atom

The structure in POSCAR format:
```
Li6In12Au
1.0
-3.361 -0.029 -6.719
-6.662 -1.041 3.313
-0.973 7.437 0.430
Li In Au
6 12 1
direct
0.733 0.892 0.262 Li
0.738 0.267 0.108 Li
0.108 0.738 0.267 Li
0.267 0.108 0.738 Li
0.262 0.733 0.892 Li
0.892 0.262 0.733 Li
0.797 0.542 0.438 In
0.438 0.797 0.542 In
0.542 0.438 0.797 In
0.203 0.458 0.562 In
0.562 0.203 0.458 In
0.458 0.562 0.203 In
0.019 0.149 0.366 In
0.851 0.634 0.981 In
0.634 0.981 0.851 In
0.981 0.851 0.634 In
0.149 0.366 0.019 In
0.366 0.019 0.149 In
0.000 0.000 0.000 Au
```

---

Material: GaHPd3
Method: DFT, PBE
State: relaxed

Results
Total energy = -4.39 eV per atom

The structure in POSCAR format:
```
GaHPd3
1.0
-2.173 -1.453 0.866
3.165 -5.691 -1.611
-0.176 3.623 5.643
H Ga Pd
1 1 3
direct
0.000 0.437 0.563 H
0.500 0.091 0.909 Ga
0.500 0.168 0.325 Pd
0.500 0.675 0.832 Pd
0.000 0.257 0.743 Pd
```

---

Material: AgPPbCl2
Method: DFT, PBE
State: relaxed

Results
Total energy = -3.04 eV per atom

The structure in POSCAR format:
```
AgPPbCl2
1.0
-1.489 -4.653 -1.539
2.271 0.771 -4.527
4.327 -1.991 1.831
Pb P Ag Cl
1 1 1 2
direct
0.500 0.500 0.500 Pb
0.000 0.000 0.500 P
0.000 0.000 0.000 Ag
0.000 0.500 0.000 Cl
0.500 0.000 0.000 Cl
```

---

Material: YTa2As
Method: DFT, PBE
State: relaxed

Results
Formation energy from the elements = 0.14 eV/atom

The structure in POSCAR format:
```
YTa2As
1.0
5.084 -0.047 0.000
1.252 4.928 0.000
-3.168 -2.441 3.140
Y As Ta
1 1 2
direct
0.500 0.500 0.000 Y
0.750 0.250 0.500 As
0.000 0.000 0.000 Ta
0.250 0.750 0.500 Ta
```

---

Material: KNa8Li4
Method: DFT, PBE
State: relaxed

Results
Formation energy from the elements = 0.04 eV/atom

The structure in POSCAR format:
```
KNa8Li4
1.0
5.989 0.000 2.407
2.995 8.308 1.204
-0.104 0.000 8.912
K Na Li
1 8 4
direct
0.000 0.000 0.000 K
0.000 0.348 0.652 Na
0.000 0.652 0.348 Na
0.348 0.652 0.652 Na
0.652 0.348 0.348 Na
0.500 0.781 0.219 Na
0.500 0.219 0.781 Na
0.281 0.219 0.219 Na
0.719 0.781 0.781 Na
0.000 0.000 0.500 Li
0.500 0.000 0.500 Li
0.000 0.500 0.000 Li
0.500 0.500 0.000 Li
```

---

Material: Co2GeMo2
Method: DFT, PBE
State: relaxed

Results
Formation energy from the elements = 0.14 eV/atom

The structure in POSCAR format:
```
Co2GeMo2
1.0
6.110 0.000 0.000
0.000 6.110 0.000
0.000 0.000 3.639
Mo Co Ge
4 4 2
direct
0.170 0.670 0.500 Mo
0.670 0.830 0.500 Mo
0.830 0.330 0.500 Mo
0.330 0.170 0.500 Mo
0.366 0.866 0.000 Co
0.866 0.634 0.000 Co
0.634 0.134 0.000 Co
0.134 0.366 0.000 Co
0.000 0.000 0.000 Ge
0.500 0.500 0.000 Ge
```

---

Material: NiPd2Pt3
Method: DFT, PBE
State: relaxed

Results
Formation energy from the elements = -0.02 eV/atom

The structure in POSCAR format:
```
NiPd2Pt3
1.0
-0.127 -1.051 4.688
-4.375 -3.282 -0.854
6.313 -3.584 -0.625
Ni Pd Pt
2 4 6
direct
0.750 0.871 0.000 Ni
0.250 0.129 0.000 Ni
0.579 0.959 0.674 Pd
0.079 0.715 0.674 Pd
0.921 0.285 0.326 Pd
0.421 0.041 0.326 Pd
0.250 0.635 0.000 Pt
0.750 0.365 0.000 Pt
0.918 0.791 0.329 Pt
0.582 0.462 0.671 Pt
0.418 0.538 0.329 Pt
0.082 0.209 0.671 Pt
```